! GGA-PBE Y2BOs, relaxed; values from VASP
&SYSTEM
  ibrav = 0, nat = 8, ntyp = 3
/
ATOMIC_SPECIES
B 10.81 B.upf
Y 88.91 Y.upf
Os 190.23 Os.upf
ATOMIC_POSITIONS angstrom
B 4.867 9.734 1.000
Y 7.300 9.005 1.499
Y 4.138 7.300 0.500
B 4.867 4.867 0.000
Y 5.596 2.433 0.500
Os 0.000 0.000 0.000
Os 9.734 4.867 1.000
Y 12.167 10.463 1.499
CELL_PARAMETERS angstrom
9.734 0.000 0.000
0.000 9.734 0.000
4.867 4.867 1.999
! Space group: No. 122
! Formation enthalpy at 0 K (eV/atom): -0.08
! Crystal system: tetragonal
! Magnetic moment (Bohr magnetons per cell): 0.0
! Energy (eV per atom): -7.791



! GGA-PBE Re2CBr, relaxed; values from VASP
&SYSTEM
  ibrav = 0, nat = 8, ntyp = 3
/
ATOMIC_SPECIES
Re 186.21 Re.upf
C 12.01 C.upf
Br 79.90 Br.upf
ATOMIC_POSITIONS angstrom
Re -3.108 -4.478 -7.334
Re 0.088 -1.914 -3.712
Re -1.936 -4.648 -4.958
C -0.232 -3.526 -4.921
C -0.610 -0.057 -3.235
Br -3.334 -2.577 -4.353
Re -2.176 -1.166 -2.542
Br 0.000 0.000 0.000
CELL_PARAMETERS angstrom
-3.711 0.892 -2.667
2.492 -1.007 -3.803
-2.346 -5.988 -2.803
! Space group: No. 122
! Crystal system: tetragonal
! Magnetic moment (Bohr magnetons per cell): 0.0
! Energy (eV per atom): -7.810
! Polymorph energy (0 for the lowest one) (eV per formula unit): 0.000
! Formation energy without anion corrections (meV per atom): 1138



! GGA-PBE HoZrSb2, relaxed; values from VASP
&SYSTEM
  ibrav = 0, nat = 4, ntyp = 3
/
ATOMIC_SPECIES
Ho 164.93 Ho.upf
Sb 121.76 Sb.upf
Zr 91.22 Zr.upf
ATOMIC_POSITIONS angstrom
Ho 4.215 2.433 3.513
Sb 2.107 1.217 1.674
Sb 6.322 3.650 5.351
Zr 0.000 0.000 0.000
CELL_PARAMETERS angstrom
4.215 0.000 0.000
2.107 3.650 0.000
2.107 1.217 7.025
! Space group: No. 166
! Crystal system: trigonal
! Magnetic moment (Bohr magnetons per cell): 0.0
! Energy (eV per atom): -6.180
! Polymorph energy (0 for the lowest one) (eV per formula unit): 0.000
! Formation energy without anion corrections (meV per atom): -837



! GGA-PBE KInBr4, relaxed; values from VASP
&SYSTEM
  ibrav = 0, nat = 6, ntyp = 3
/
ATOMIC_SPECIES
Br 79.90 Br.upf
K 39.10 K.upf
In 114.82 In.upf
ATOMIC_POSITIONS angstrom
Br 3.536 5.887 5.887
Br 3.536 3.536 3.536
Br 5.887 5.887 3.536
Br 5.887 3.536 5.887
K 0.000 0.000 0.000
In 7.067 7.067 7.067
CELL_PARAMETERS angstrom
0.000 4.712 4.712
4.712 0.000 4.712
4.712 4.712 0.000
! Space group: No. 216
! Crystal system: cubic
! Magnetic moment (Bohr magnetons per cell): 2.0
! Energy (eV per atom): -2.117
! Formation energy without anion corrections (meV per atom): -363



! GGA-PBE Pr2DyMg, relaxed; values from VASP
&SYSTEM
  ibrav = 0, nat = 4, ntyp = 3
/
ATOMIC_SPECIES
Pr 140.91 Pr.upf
Dy 162.50 Dy.upf
Mg 24.30 Mg.upf
ATOMIC_POSITIONS angstrom
Pr 0.626 -3.549 -0.046
Pr 2.226 -8.046 3.076
Dy 2.646 -12.805 1.359
Mg 1.224 -7.020 -0.145
CELL_PARAMETERS angstrom
-2.019 -2.141 -2.056
1.413 -1.524 -2.926
3.052 -10.370 4.686
! Space group: No. 8
! Formation enthalpy at 0 K (eV/atom): 0.04
! Crystal system: monoclinic
! Magnetic moment (Bohr magnetons per cell): 0.0
! Energy (eV per atom): -3.899
! Polymorph energy (0 for the lowest one) (eV per formula unit): 0.289



! GGA-PBE LiZrIrPt, relaxed; values from VASP
&SYSTEM
  ibrav = 0, nat = 4, ntyp = 4
/
ATOMIC_SPECIES
Pt 195.08 Pt.upf
Ir 192.22 Ir.upf
Li 6.94 Li.upf
Zr 91.22 Zr.upf
ATOMIC_POSITIONS angstrom
Pt 2.124 0.000 1.772
Ir 0.000 2.124 1.772
Li 0.000 0.000 0.000
Zr 0.000 0.000 3.544
CELL_PARAMETERS angstrom
4.248 0.000 0.000
0.000 4.248 0.000
-2.124 -2.124 3.545
! Space group: No. 119
! Formation enthalpy at 0 K (eV/atom): -0.75
! Crystal system: tetragonal
! Magnetic moment (Bohr magnetons per cell): 0.0
! Energy (eV per atom): -7.091
! Polymorph energy (0 for the lowest one) (eV per formula unit): 0.000



! GGA-PBE La4Sm3Te8, relaxed; values from VASP
&SYSTEM
  ibrav = 0, nat = 15, ntyp = 3
/
ATOMIC_SPECIES
Sm 150.36 Sm.upf
Te 127.60 Te.upf
La 138.91 La.upf
ATOMIC_POSITIONS angstrom
Sm -0.119 -0.082 4.902
Te 7.955 5.491 13.335
La 5.179 3.575 9.121
Te 6.502 1.701 11.501
Te 2.464 1.701 9.323
Te 3.857 5.449 6.741
Te 3.896 5.476 11.501
La 6.808 4.700 6.100
La 0.000 0.000 0.000
La 3.550 2.451 12.141
Te 2.403 1.659 4.906
Sm 3.792 -0.082 7.011
Te 7.894 5.449 8.918
Sm 1.268 3.575 7.011
Te 6.463 1.674 6.741
CELL_PARAMETERS angstrom
7.823 0.000 4.219
2.774 7.315 4.219
-0.238 -0.164 9.803
! Space group: No. 166
! Crystal system: trigonal
! Magnetic moment (Bohr magnetons per cell): 0.0
! Energy (eV per atom): -5.239
! Polymorph energy (0 for the lowest one) (eV per formula unit): 3.239
! Formation energy without anion corrections (meV per atom): -1306



! GGA-PBE Ca2LaGa6, relaxed; values from VASP
&SYSTEM
  ibrav = 0, nat = 9, ntyp = 3
/
ATOMIC_SPECIES
Ga 69.72 Ga.upf
Ca 40.08 Ca.upf
La 138.91 La.upf
ATOMIC_POSITIONS angstrom
Ga 5.706 -8.439 -0.552
Ga 2.596 -9.483 2.725
Ca 2.344 -4.749 0.712
Ga 3.512 -7.121 -0.826
Ga 2.635 -5.362 -2.487
Ga -0.475 -6.405 0.790
Ca 2.887 -10.095 -0.475
La 0.000 0.000 0.000
Ga 1.719 -7.723 1.063
CELL_PARAMETERS angstrom
-1.602 -3.196 -2.539
5.921 -4.984 -1.250
0.912 -6.665 4.027
! Space group: No. 71
! Formation enthalpy at 0 K (eV/atom): -0.40
! Crystal system: orthorhombic
! Magnetic moment (Bohr magnetons per cell): 0.0
! Energy (eV per atom): -3.411
! Polymorph energy (0 for the lowest one) (eV per formula unit): 1.367



! GGA-PBE Sr3GeAu4, relaxed; values from VASP
&SYSTEM
  ibrav = 0, nat = 8, ntyp = 3
/
ATOMIC_SPECIES
Sr 87.62 Sr.upf
Ge 72.64 Ge.upf
Au 196.97 Au.upf
ATOMIC_POSITIONS angstrom
Sr 2.424 3.444 4.565
Ge 2.424 0.000 0.000
Sr 0.000 3.444 0.000
Au 0.000 -1.390 5.480
Sr 0.000 0.000 2.543
Au 0.000 1.390 5.480
Au 2.424 2.054 1.628
Au 2.424 4.834 1.628
CELL_PARAMETERS angstrom
4.849 0.000 0.000
0.000 6.888 0.000
-2.424 -3.444 7.108
! Space group: No. 71
! Formation enthalpy at 0 K (eV/atom): -0.60
! Crystal system: orthorhombic
! Magnetic moment (Bohr magnetons per cell): 0.0
! Energy (eV per atom): -3.447



! GGA-PBE MnReAs2, relaxed; values from VASP
&SYSTEM
  ibrav = 0, nat = 4, ntyp = 3
/
ATOMIC_SPECIES
Re 186.21 Re.upf
Mn 54.94 Mn.upf
As 74.92 As.upf
ATOMIC_POSITIONS angstrom
Re 1.164 1.654 5.713
Mn 0.000 0.000 4.104
As 0.000 0.000 7.488
As 1.164 1.654 2.598
CELL_PARAMETERS angstrom
2.818 0.490 0.000
-0.489 2.818 0.000
0.000 0.000 7.961
! Space group: No. 99
! Formation enthalpy at 0 K (eV/atom): 0.06
! Crystal system: tetragonal
! Magnetic moment (Bohr magnetons per cell): 0.0
! Energy (eV per atom): -7.673
! Polymorph energy (0 for the lowest one) (eV per formula unit): 0.000



! GGA-PBE Tl2HBr, relaxed; values from VASP
&SYSTEM
  ibrav = 0, nat = 8, ntyp = 3
/
ATOMIC_SPECIES
Tl 204.38 Tl.upf
Br 79.90 Br.upf
H 1.01 H.upf
ATOMIC_POSITIONS angstrom
Tl 9.717 8.977 2.655
Tl 5.091 1.943 0.885
Tl 2.683 5.830 0.885
Br 7.773 3.887 1.770
H 3.887 7.773 1.770
Tl 5.830 6.570 2.655
H 3.887 3.887 0.000
Br 0.000 0.000 0.000
CELL_PARAMETERS angstrom
7.773 0.000 0.000
0.000 7.773 0.000
3.887 3.887 3.539
! Space group: No. 122
! Crystal system: tetragonal
! Magnetic moment (Bohr magnetons per cell): 0.0
! Energy (eV per atom): -2.632
! Polymorph energy (0 for the lowest one) (eV per formula unit): 0.000



! GGA-PBE Tm2Si2Tc, relaxed; values from VASP
&SYSTEM
  ibrav = 0, nat = 10, ntyp = 3
/
ATOMIC_SPECIES
Tm 168.93 Tm.upf
Si 28.09 Si.upf
Tc 98.00 Tc.upf
ATOMIC_POSITIONS angstrom
Tm 0.000 1.233 1.726
Si 0.000 4.547 1.206
Si 3.003 -1.457 4.640
Si 0.000 1.457 4.640
Tm 3.003 4.948 1.726
Tm 3.003 1.857 4.120
Si 3.003 1.633 1.206
Tc 1.502 3.090 0.000
Tm 0.000 -1.857 4.120
Tc 4.505 3.090 0.000
CELL_PARAMETERS angstrom
6.006 0.000 0.000
0.000 6.181 0.000
-3.003 -3.090 5.846
! Space group: No. 72
! Crystal system: orthorhombic
! Magnetic moment (Bohr magnetons per cell): 0.0
! Energy (eV per atom): -6.535
! Polymorph energy (0 for the lowest one) (eV per formula unit): 1.315
! Formation energy without anion corrections (meV per atom): -504



! GGA-PBE BAs3Pd, relaxed; values from VASP
&SYSTEM
  ibrav = 0, nat = 5, ntyp = 3
/
ATOMIC_SPECIES
As 74.92 As.upf
B 10.81 B.upf
Pd 106.42 Pd.upf
ATOMIC_POSITIONS angstrom
As 0.000 0.000 2.442
B 2.442 2.442 2.442
As 0.000 2.442 0.000
Pd 0.000 0.000 0.000
As 2.442 0.000 0.000
CELL_PARAMETERS angstrom
4.884 0.000 0.000
0.000 4.884 0.000
0.000 0.000 4.884
! Space group: No. 221
! Formation enthalpy at 0 K (eV/atom): 1.45
! Crystal system: cubic
! Magnetic moment (Bohr magnetons per cell): 0.0
! Energy (eV per atom): -3.711
! Polymorph energy (0 for the lowest one) (eV per formula unit): 3.994



! GGA-PBE AgOsCl2, relaxed; values from VASP
&SYSTEM
  ibrav = 0, nat = 4, ntyp = 3
/
ATOMIC_SPECIES
Cl 35.45 Cl.upf
Ag 107.87 Ag.upf
Os 190.23 Os.upf
ATOMIC_POSITIONS angstrom
Cl 0.000 0.000 2.211
Ag 0.000 0.000 16.946
Os 0.000 0.000 0.000
Cl 0.000 0.000 31.680
CELL_PARAMETERS angstrom
1.682 0.000 11.297
-0.841 1.457 11.297
-0.841 -1.457 11.297
! Space group: No. 166
! Crystal system: trigonal
! Magnetic moment (Bohr magnetons per cell): 0.0
! Energy (eV per atom): -4.156
! Polymorph energy (0 for the lowest one) (eV per formula unit): 0.152
! Formation energy without anion corrections (meV per atom): 288



! GGA-PBE MgBeF2, relaxed; values from VASP
&SYSTEM
  ibrav = 0, nat = 4, ntyp = 3
/
ATOMIC_SPECIES
F 19.00 F.upf
Mg 24.30 Mg.upf
Be 9.01 Be.upf
ATOMIC_POSITIONS angstrom
F -11.384 11.948 -14.172
F -1.634 1.715 -2.034
Mg -6.509 6.832 -8.103
Be 0.000 0.000 0.000
CELL_PARAMETERS angstrom
-2.966 4.751 -6.339
-5.361 3.256 -5.676
-4.692 5.656 -4.191
! Space group: No. 166
! Crystal system: trigonal
! Magnetic moment (Bohr magnetons per cell): 0.0
! Energy (eV per atom): -4.252
! Polymorph energy (0 for the lowest one) (eV per formula unit): 0.000
! Formation energy without anion corrections (meV per atom): -1986



! GGA-PBE CeDy2Hg, relaxed; values from VASP
&SYSTEM
  ibrav = 0, nat = 4, ntyp = 3
/
ATOMIC_SPECIES
Hg 200.59 Hg.upf
Ce 140.12 Ce.upf
Dy 162.50 Dy.upf
ATOMIC_POSITIONS angstrom
Hg -0.365 -1.915 -1.623
Ce 3.133 -3.928 -0.035
Dy 5.392 -3.102 2.448
Dy 1.604 -0.922 0.728
CELL_PARAMETERS angstrom
-1.819 -3.091 0.092
1.089 -0.740 -3.337
6.996 -4.024 3.175
! Space group: No. 123
! Formation enthalpy at 0 K (eV/atom): -0.20
! Crystal system: tetragonal
! Magnetic moment (Bohr magnetons per cell): 0.5
! Energy (eV per atom): -4.055
! Polymorph energy (0 for the lowest one) (eV per formula unit): 0.000



! GGA-PBE Sr2NpSb4Pd3, relaxed; values from VASP
&SYSTEM
  ibrav = 0, nat = 10, ntyp = 4
/
ATOMIC_SPECIES
Sb 121.76 Sb.upf
Sr 87.62 Sr.upf
Np 237.00 Np.upf
Pd 106.42 Pd.upf
ATOMIC_POSITIONS angstrom
Sb 0.000 0.000 0.000
Sb 0.000 2.304 4.219
Sr 2.304 0.000 2.858
Np 2.304 2.304 6.174
Sb 2.304 2.304 0.000
Pd 0.000 2.304 1.512
Pd 2.304 0.000 10.836
Sb 2.304 0.000 8.129
Pd 0.000 0.000 6.174
Sr 0.000 2.304 9.489
CELL_PARAMETERS angstrom
4.607 0.000 0.000
0.000 4.607 0.000
0.000 0.000 12.348
! Space group: No. 115
! Crystal system: tetragonal
! Magnetic moment (Bohr magnetons per cell): 3.8
! Energy (eV per atom): -5.447
! Formation energy without anion corrections (meV per atom): -610



! GGA-PBE PmPdPb2, relaxed; values from VASP
&SYSTEM
  ibrav = 0, nat = 8, ntyp = 3
/
ATOMIC_SPECIES
Pd 106.42 Pd.upf
Pb 207.20 Pb.upf
Pm 145.00 Pm.upf
ATOMIC_POSITIONS angstrom
Pd 4.026 0.368 2.853
Pb 1.484 1.453 3.838
Pm 4.649 2.895 4.541
Pb 0.185 -1.382 2.000
Pb 5.296 2.413 1.176
Pb -1.087 1.747 1.308
Pd 2.754 3.498 2.161
Pm 2.131 0.971 0.473
CELL_PARAMETERS angstrom
-2.174 3.495 2.616
0.371 -2.764 4.001
8.583 3.135 -1.602
! Space group: No. 139
! Formation enthalpy at 0 K (eV/atom): -0.52
! Crystal system: tetragonal
! Magnetic moment (Bohr magnetons per cell): 0.0
! Energy (eV per atom): -4.863
! Polymorph energy (0 for the lowest one) (eV per formula unit): 0.000



! GGA-PBE TcHOsAuN, relaxed; values from VASP
&SYSTEM
  ibrav = 0, nat = 5, ntyp = 5
/
ATOMIC_SPECIES
Tc 98.00 Tc.upf
N 14.01 N.upf
Os 190.23 Os.upf
H 1.01 H.upf
Au 196.97 Au.upf
ATOMIC_POSITIONS angstrom
Tc 0.191 0.400 4.049
N 1.807 0.400 2.904
Os 0.231 -2.251 4.034
H -0.361 -3.317 0.707
Au 0.890 -1.182 1.491
CELL_PARAMETERS angstrom
-2.507 -4.241 0.530
2.379 -1.404 0.027
1.199 2.118 4.564
! Space group: No. 6
! Crystal system: monoclinic
! Magnetic moment (Bohr magnetons per cell): 0.2
! Energy (eV per atom): -6.879
! Polymorph energy (0 for the lowest one) (eV per formula unit): 0.506



! GGA-PBE Zn2CdI, relaxed; values from VASP
&SYSTEM
  ibrav = 0, nat = 8, ntyp = 3
/
ATOMIC_SPECIES
Zn 65.41 Zn.upf
I 126.90 I.upf
Cd 112.41 Cd.upf
ATOMIC_POSITIONS angstrom
Zn -11.268 -2.590 -7.907
I -8.242 0.340 -3.506
Zn -7.301 -2.415 -4.414
Cd -5.482 -3.813 -5.979
Zn -3.233 -2.951 -4.596
Zn -5.645 1.010 -2.054
I 0.000 0.000 0.000
Cd -4.033 -0.409 -3.815
CELL_PARAMETERS angstrom
-6.793 3.744 -1.341
-1.272 -4.561 -6.288
-5.658 -2.656 -1.856
! Space group: No. 122
! Crystal system: tetragonal
! Magnetic moment (Bohr magnetons per cell): 0.0
! Energy (eV per atom): -1.151
! Polymorph energy (0 for the lowest one) (eV per formula unit): 0.000
! Formation energy without anion corrections (meV per atom): 102